No. 1
Computed, not measured: a relaxed structure of LiHo3Se2F6 at the GGA-PBE level of DFT.

Unit cell a=7.1403 b=7.1403 c=5.5428 alpha=100.92 beta=100.92 gamma=62.74
Positions (direct):
Li1 0.0000 0.0000 0.0000
Ho1 0.0000 0.5000 0.0000
Ho2 0.5000 0.0000 0.0000
Ho3 0.5000 0.5000 0.5000
Se1 0.2975 0.2975 0.6578
Se2 0.7025 0.7025 0.3422
F1 0.1586 0.1586 0.0854
F2 0.2149 0.6255 0.2289
F3 0.3745 0.7851 0.7711
F4 0.6255 0.2149 0.2289
F5 0.7851 0.3745 0.7711
F6 0.8414 0.8414 0.9146

Summary:
- Symmetry: C2/m, No. 12
- E_form (uncorrected): -38.3 eV per formula unit
- Calculated density: 5.2 g/cm³

=====

No. 2
Computed, not measured: a relaxed structure of Cd3PS at the GGA-PBE level of DFT.

Unit cell a=9.2726 b=9.2726 c=7.5616 alpha=109.89 beta=109.89 gamma=73.74
Positions (direct):
Cd1 0.0856 0.1281 0.8665
Cd2 0.1281 0.0856 0.3665
Cd3 0.1580 0.7226 0.8621
Cd4 0.2774 0.8420 0.6379
Cd5 0.3124 0.4950 0.3428
Cd6 0.4950 0.3124 0.8428
Cd7 0.5050 0.6876 0.1572
Cd8 0.6876 0.5050 0.6572
Cd9 0.7226 0.1580 0.3621
Cd10 0.8420 0.2774 0.1379
Cd11 0.8719 0.9144 0.6335
Cd12 0.9144 0.8719 0.1335
P1 0.2341 0.7659 0.2500
P2 0.4167 0.5833 0.7500
P3 0.5833 0.4167 0.2500
P4 0.7659 0.2341 0.7500
S1 0.1357 0.2959 0.2214
S2 0.2959 0.1357 0.7214
S3 0.7041 0.8643 0.2786
S4 0.8643 0.7041 0.7786

Summary:
- Symmetry: C2/c, No. 15
- E above lowest polymorph: 0.0 kJ per mole of atoms
- E_form (uncorrected): -0.5 eV per formula unit
- Calculated density: 4.7 g/cm³

=====

No. 3
Computed, not measured: a relaxed structure of NdHo4Mg at the GGA-PBE level of DFT.

Unit cell a=6.0895 b=6.0895 c=11.8366 alpha=104.70 beta=104.70 gamma=60.38
Positions (direct):
Nd1 0.0000 0.5000 0.0000
Nd2 0.5000 0.0000 0.5000
Ho1 0.1658 0.6699 0.4986
Ho2 0.2507 0.4183 0.7495
Ho3 0.3301 0.8342 0.0014
Ho4 0.4183 0.2507 0.2495
Ho5 0.5817 0.7493 0.7505
Ho6 0.6699 0.1658 0.9986
Ho7 0.7493 0.5817 0.2505
Ho8 0.8342 0.3301 0.5014
Mg1 0.0788 0.9212 0.2500
Mg2 0.9212 0.0788 0.7500

Summary:
- DFT formation energy: 2.7 kJ/mol of atoms
- Symmetry: C2/c, No. 15
- E above lowest polymorph: 3.4 kJ per mole of atoms
- Calculated density: 7.5 g/cm³

=====

No. 4
Computed, not measured: a relaxed structure of CuTcCl2 at the GGA-PBE level of DFT.

Unit cell a=3.1208 b=3.1208 c=9.0931 alpha=90.00 beta=90.00 gamma=120.61
Positions (direct):
Cu1 0.0000 0.0000 0.0000
Tc1 0.5000 0.5000 0.7731
Cl1 0.0000 0.0000 0.5725
Cl2 0.5000 0.5000 0.1804

Summary:
- Symmetry: Cmm2, No. 35
- E above lowest polymorph: 18.5 kJ per mole of atoms
- E_form (uncorrected): 0.7 eV per formula unit
- Calculated density: 5.1 g/cm³

=====

No. 5
Computed, not measured: a relaxed structure of TlInMo at the GGA-PBE level of DFT.

Unit cell a=7.8538 b=7.6772 c=3.0308 alpha=82.04 beta=75.49 gamma=22.47
Positions (direct):
Tl1 0.0000 0.0000 0.0000
In1 0.3061 0.3061 0.6939
Mo1 0.6589 0.6589 0.3411

Summary:
- DFT formation energy: 63.3 kJ/mol of atoms
- Symmetry: Fmm2, No. 42
- E above lowest polymorph: 4.4 kJ per mole of atoms
- Calculated density: 10.5 g/cm³

=====

No. 6
Computed, not measured: a relaxed structure of V2FeSn at the GGA-PBE level of DFT.

Unit cell a=5.5603 b=5.5603 c=5.5603 alpha=102.79 beta=102.79 gamma=123.86
Positions (direct):
V1 0.0587 0.1250 0.4337
V2 0.3750 0.9413 0.0663
V3 0.6913 0.6250 0.5663
V4 0.8750 0.3087 0.9337
Fe1 0.0000 0.0000 0.0000
Fe2 0.7500 0.2500 0.5000
Sn1 0.2500 0.7500 0.5000
Sn2 0.5000 0.5000 0.0000

Summary:
- DFT formation energy: 32.7 kJ/mol of atoms
- Symmetry: I-42d, No. 122
- Calculated density: 7.3 g/cm³

=====

No. 7
Computed, not measured: a relaxed structure of LiCrTc at the GGA-PBE level of DFT.

Unit cell a=4.3415 b=4.1494 c=4.7483 alpha=90.00 beta=116.75 gamma=90.00
Positions (direct):
Li1 0.0722 0.2500 0.1416
Li2 0.9278 0.7500 0.8584
Cr1 0.4043 0.2500 0.8037
Cr2 0.5957 0.7500 0.1963
Tc1 0.2614 0.7500 0.5222
Tc2 0.7386 0.2500 0.4778

Summary:
- DFT formation energy: 17.7 kJ/mol of atoms
- Symmetry: P2_1/m, No. 11
- E above lowest polymorph: 0.0 kJ per mole of atoms
- Calculated density: 6.8 g/cm³

=====

No. 8
Computed, not measured: a relaxed structure of Mg2BeNi at the GGA-PBE level of DFT.

Unit cell a=8.7999 b=8.7999 c=8.7999 alpha=18.46 beta=18.46 gamma=18.46
Positions (direct):
Mg1 0.2468 0.2468 0.2468
Mg2 0.7532 0.7532 0.7532
Be1 0.0000 0.0000 0.0000
Ni1 0.5000 0.5000 0.5000

Summary:
- DFT formation energy: 29.9 kJ/mol of atoms
- Symmetry: R-3m, No. 166
- Calculated density: 3.2 g/cm³

=====

No. 9
Computed, not measured: a relaxed structure of Tm2Fe2Co15 at the GGA-PBE level of DFT.

Unit cell a=6.2480 b=6.2480 c=6.2480 alpha=83.01 beta=83.01 gamma=83.01
Positions (direct):
Tm1 0.1549 0.1549 0.1549
Tm2 0.8451 0.8451 0.8451
Fe1 0.4015 0.4015 0.4015
Fe2 0.5985 0.5985 0.5985
Co1 0.0000 0.5000 0.5000
Co2 0.1520 0.1520 0.6525
Co3 0.1520 0.6525 0.1520
Co4 0.2095 0.5000 0.7905
Co5 0.2095 0.7905 0.5000
Co6 0.3475 0.8480 0.8480
Co7 0.5000 0.0000 0.5000
Co8 0.5000 0.2095 0.7905
Co9 0.5000 0.5000 0.0000
Co10 0.5000 0.7905 0.2095
Co11 0.6525 0.1520 0.1520
Co12 0.7905 0.2095 0.5000
Co13 0.7905 0.5000 0.2095
Co14 0.8480 0.3475 0.8480
Co15 0.8480 0.8480 0.3475

Summary:
- DFT formation energy: -12.0 kJ/mol of atoms
- Symmetry: R-3m, No. 166
- Calculated density: 9.3 g/cm³

=====

No. 10
Computed, not measured: a relaxed structure of Ta2InTc at the GGA-PBE level of DFT.

Unit cell a=2.9103 b=4.5963 c=5.5216 alpha=90.00 beta=101.15 gamma=90.00
Positions (direct):
Ta1 0.0000 0.0000 0.0000
Ta2 0.2892 0.5000 0.7392
In1 0.6411 0.0000 0.4814
Tc1 0.7537 0.5000 0.1943

Summary:
- DFT formation energy: 7.5 kJ/mol of atoms
- Symmetry: Pm, No. 6
- Calculated density: 13.2 g/cm³

=====

No. 11
Computed, not measured: a relaxed structure of Ca2Ga12Au7 at the GGA-PBE level of DFT.

Unit cell a=10.6341 b=10.6341 c=4.2336 alpha=90.00 beta=90.00 gamma=120.00
Positions (direct):
Ca1 0.3333 0.6667 0.2655
Ca2 0.6667 0.3333 0.7345
Ga1 0.0454 0.6106 0.7430
Ga2 0.1128 0.8499 0.2515
Ga3 0.1501 0.2629 0.2515
Ga4 0.2629 0.1128 0.7485
Ga5 0.3894 0.4348 0.7430
Ga6 0.4348 0.0454 0.2570
Ga7 0.5652 0.9546 0.7430
Ga8 0.6106 0.5652 0.2570
Ga9 0.7371 0.8872 0.2515
Ga10 0.8499 0.7371 0.7485
Ga11 0.8872 0.1501 0.7485
Ga12 0.9546 0.3894 0.2570
Au1 0.0000 0.0000 0.5000
Au2 0.1327 0.4176 0.7656
Au3 0.2850 0.8673 0.7656
Au4 0.4176 0.2850 0.2344
Au5 0.5824 0.7150 0.7656
Au6 0.7150 0.1327 0.2344
Au7 0.8673 0.5824 0.2344

Summary:
- DFT formation energy: -34.0 kJ/mol of atoms
- Symmetry: P-3, No. 147
- Calculated density: 9.2 g/cm³

=====

No. 12
Computed, not measured: a relaxed structure of LaSm5Au4 at the GGA-PBE level of DFT.

Unit cell a=3.6562 b=3.6562 c=20.1469 alpha=90.00 beta=90.00 gamma=90.00
Positions (direct):
La1 0.0000 0.0000 0.0000
Sm1 0.5000 0.5000 0.1333
Sm2 0.5000 0.5000 0.3152
Sm3 0.5000 0.5000 0.5000
Sm4 0.5000 0.5000 0.6848
Sm5 0.5000 0.5000 0.8667
Au1 0.0000 0.0000 0.2220
Au2 0.0000 0.0000 0.4075
Au3 0.0000 0.0000 0.5925
Au4 0.0000 0.0000 0.7780

Summary:
- DFT formation energy: -61.4 kJ/mol of atoms
- Symmetry: P4/mmm, No. 123
- Calculated density: 10.3 g/cm³